First-principles (PBE-GGA) data for an optimized crystal structure of La4Pr6Ho, as listed in Alexandria via LeMat-Bulk.

a b c (Å): 6.970 6.970 16.814
angles (deg): 90.00 90.00 90.00
Space group I-42m (No. 121)
Inequivalent atoms, fractional coordinates:
La1 0.186 0.186 0.180 (multiplicity 8)
Pr1 0.000 0.500 0.000 (multiplicity 4)
Pr2 0.167 0.167 0.385 (multiplicity 8)
Ho1 0.000 0.000 0.000 (multiplicity 2)

Calculated values
ΔE to the lowest computed polymorph: 18.3 meV/atom

---

First-principles (PBE-GGA) data for an optimized crystal structure of LaPr2Ho4, as listed in Alexandria via LeMat-Bulk.

a b c (Å): 6.690 11.628 12.378
angles (deg): 90.00 90.00 90.00
Space group Imma (No. 74)
Inequivalent atoms, fractional coordinates:
La1 0.250 0.250 0.250 (multiplicity 4)
Pr1 0.000 0.000 0.000 (multiplicity 4)
Pr2 0.000 0.250 0.774 (multiplicity 4)
Ho1 0.000 0.005 0.364 (multiplicity 8)
Ho2 0.228 0.250 0.510 (multiplicity 8)

Calculated values
ΔE to the lowest computed polymorph: 0.0 meV/atom

---

First-principles (PBE-GGA) data for an optimized crystal structure of LaPr3Ho2, as listed in Alexandria via LeMat-Bulk.

a b c (Å): 3.519 6.032 19.914
angles (deg): 90.00 90.00 90.00
Space group Immm (No. 71)
Inequivalent atoms, fractional coordinates:
La1 0.000 0.000 0.000 (multiplicity 2)
Pr1 0.000 0.000 0.191 (multiplicity 4)
Pr2 0.000 0.500 0.000 (multiplicity 2)
Ho1 0.000 0.000 0.362 (multiplicity 4)

Calculated values
ΔE to the lowest computed polymorph: 237.9 meV/atom

---

First-principles (PBE-GGA) data for an optimized crystal structure of La2Pr5Ho4, as listed in Alexandria via LeMat-Bulk.

a b c (Å): 18.353 3.625 12.315
angles (deg): 90.00 107.38 90.00
Space group C2/m (No. 12)
Inequivalent atoms, fractional coordinates:
La1 0.179 0.000 0.297 (multiplicity 4)
Pr1 0.000 0.000 0.000 (multiplicity 2)
Pr2 0.109 0.500 0.518 (multiplicity 4)
Pr3 0.166 0.500 0.013 (multiplicity 4)
Ho1 0.005 0.500 0.752 (multiplicity 4)
Ho2 0.169 0.000 0.769 (multiplicity 4)

Calculated values
ΔE to the lowest computed polymorph: 0.0 meV/atom

---

First-principles (PBE-GGA) data for an optimized crystal structure of La8PrHo3, as listed in Alexandria via LeMat-Bulk.

a b c (Å): 6.332 8.988 14.940
angles (deg): 90.00 90.00 90.00
Space group I222 (No. 23)
Inequivalent atoms, fractional coordinates:
La1 0.128 0.175 0.096 (multiplicity 8)
La2 0.154 0.353 0.281 (multiplicity 8)
Pr1 0.000 0.500 0.500 (multiplicity 2)
Ho1 0.000 0.000 0.386 (multiplicity 4)
Ho2 0.000 0.500 0.000 (multiplicity 2)

---

First-principles (PBE-GGA) data for an optimized crystal structure of LaPr4Ho4, as listed in Alexandria via LeMat-Bulk.

a b c (Å): 10.917 10.917 5.125
angles (deg): 90.00 90.00 90.00
Space group I4/mmm (No. 139)
Inequivalent atoms, fractional coordinates:
La1 0.000 0.000 0.000 (multiplicity 2)
Pr1 0.000 0.331 0.000 (multiplicity 8)
Ho1 0.167 0.167 0.500 (multiplicity 8)

---

First-principles (PBE-GGA) data for an optimized crystal structure of La2Pr2Ho7, as listed in Alexandria via LeMat-Bulk.

a b c (Å): 11.425 11.695 6.122
angles (deg): 90.00 113.90 90.00
Space group C2/m (No. 12)
Inequivalent atoms, fractional coordinates:
La1 0.000 0.210 0.000 (multiplicity 4)
Pr1 0.100 0.500 0.315 (multiplicity 4)
Ho1 0.000 0.000 0.500 (multiplicity 2)
Ho2 0.172 0.237 0.672 (multiplicity 8)
Ho3 0.237 0.000 0.077 (multiplicity 4)

---

First-principles (PBE-GGA) data for an optimized crystal structure of La2Pr2Ho5, as listed in Alexandria via LeMat-Bulk.

a b c (Å): 17.809 3.505 9.907
angles (deg): 90.00 98.72 90.00
Space group C2/m (No. 12)
Inequivalent atoms, fractional coordinates:
La1 0.165 0.000 0.220 (multiplicity 4)
Pr1 0.005 0.500 0.688 (multiplicity 4)
Ho1 0.000 0.000 0.000 (multiplicity 2)
Ho2 0.171 0.500 0.541 (multiplicity 4)
Ho3 0.173 0.000 0.865 (multiplicity 4)

Calculated values
ΔE to the lowest computed polymorph: 0.0 meV/atom

---

For the records above, the corresponding energy of formation values read 0.257; 0.256; 0.293; 0.134; 0.262; 0.022; 0.153; 0.141 eV/atom.